Here is a relaxed MgTiS3 crystal from Alexandria. Energies are from PBE.

Properties
Spin magnetization in μB/f.u.: 0.00
Calculated volume in Å³/atom: 20.14
Offset from the most stable computed form in eV per atom: 1.267
Energy relative to the elements, uncorrected in eV/atom: 0.067

```
data_MgTiS3
_symmetry_space_group_name_H-M 'P m -3 m'
_symmetry_Int_Tables_number 221
_symmetry_space_group_name_Hall '-P 4 2 3'
_cell_length_a 4.6525
_cell_length_b 4.6525
_cell_length_c 4.6525
_cell_angle_alpha 90.00
_cell_angle_beta 90.00
_cell_angle_gamma 90.00
loop_
_atom_site_label
_atom_site_fract_x
_atom_site_fract_y
_atom_site_fract_z
Mg1 0.0000 0.0000 0.0000
Ti1 0.5000 0.5000 0.5000
S1 0.0000 0.0000 0.5000
```

Here is a relaxed MgTi2S crystal from Alexandria. Energies are from PBE.

Properties
Spin magnetization in μB/f.u.: 0.00
Calculated volume in Å³/atom: 16.32
Offset from the most stable computed form in eV per atom: 0.679
Energy relative to the elements, uncorrected in eV/atom: 0.083

```
data_MgTi2S
_symmetry_space_group_name_H-M 'F m -3 m'
_symmetry_Int_Tables_number 225
_symmetry_space_group_name_Hall '-F 4 2 3'
_cell_length_a 6.3918
_cell_length_b 6.3918
_cell_length_c 6.3918
_cell_angle_alpha 90.00
_cell_angle_beta 90.00
_cell_angle_gamma 90.00
loop_
_atom_site_label
_atom_site_fract_x
_atom_site_fract_y
_atom_site_fract_z
Mg1 0.0000 0.0000 0.0000
Ti1 0.2500 0.2500 0.2500
S1 0.0000 0.0000 0.5000
```

Here is a relaxed MgTi3S crystal from Alexandria. Energies are from PBE.

Properties
Spin magnetization in μB/f.u.: 2.73
Calculated volume in Å³/atom: 22.16
Offset from the most stable computed form in eV per atom: 1.647
Energy relative to the elements, uncorrected in eV/atom: 1.287

```
data_MgTi3S
_symmetry_space_group_name_H-M 'P m -3 m'
_symmetry_Int_Tables_number 221
_symmetry_space_group_name_Hall '-P 4 2 3'
_cell_length_a 4.8027
_cell_length_b 4.8027
_cell_length_c 4.8027
_cell_angle_alpha 90.00
_cell_angle_beta 90.00
_cell_angle_gamma 90.00
loop_
_atom_site_label
_atom_site_fract_x
_atom_site_fract_y
_atom_site_fract_z
Mg1 0.0000 0.0000 0.0000
Ti1 0.0000 0.0000 0.5000
S1 0.5000 0.5000 0.5000
```

Here is a relaxed MgTiS3 crystal from Alexandria. Energies are from PBE.

Properties
Spin magnetization in μB/f.u.: 0.00
Calculated volume in Å³/atom: 20.74
Offset from the most stable computed form in eV per atom: 0.499
Energy relative to the elements, uncorrected in eV/atom: -0.701

```
data_MgTiS3
_symmetry_space_group_name_H-M 'P m -3 m'
_symmetry_Int_Tables_number 221
_symmetry_space_group_name_Hall '-P 4 2 3'
_cell_length_a 4.6980
_cell_length_b 4.6980
_cell_length_c 4.6980
_cell_angle_alpha 90.00
_cell_angle_beta 90.00
_cell_angle_gamma 90.00
loop_
_atom_site_label
_atom_site_fract_x
_atom_site_fract_y
_atom_site_fract_z
Mg1 0.0000 0.0000 0.0000
Ti1 0.5000 0.5000 0.5000
S1 0.0000 0.5000 0.5000
```